1.
A relaxed structure of Zr3SbH2. Source: the Alexandria database, functional PBE.

As for the crystal system: monoclinic.

abc: 9.204 9.204 7.505
angles: 104.04 104.04 19.92
Fractional positions:
Zr1 0.060 0.060 0.190
Zr2 0.265 0.265 0.801
Zr3 0.408 0.408 0.147
Zr4 0.592 0.592 0.853
Zr5 0.735 0.735 0.199
Zr6 0.940 0.940 0.810
Sb1 0.349 0.349 0.488
Sb2 0.651 0.651 0.512
H1 0.034 0.034 0.700
H2 0.285 0.285 0.083
H3 0.715 0.715 0.917
H4 0.966 0.966 0.300

---

2.
A relaxed structure of ZrSbH2. Source: the Alexandria database, functional PBE.

The calculation puts the energy relative to the lowest polymorph listed for this composition at 283 meV/atom. As for the crystal system: tetragonal.

abc: 6.967 6.967 6.967
angles: 143.85 143.85 52.05
Fractional positions:
Zr1 0.375 0.625 0.750
Zr2 0.625 0.375 0.250
Sb1 0.125 0.875 0.250
Sb2 0.875 0.125 0.750
H1 0.000 0.500 0.500
H2 0.500 0.000 0.000
H3 0.500 0.500 0.000
H4 0.500 0.500 0.500

---

3.
A relaxed structure of Zr4Sb3H4. Source: the Alexandria database, functional PBE.

As for the crystal system: orthorhombic.

abc: 8.067 8.067 8.067
angles: 154.42 124.12 62.43
Fractional positions:
Zr1 0.198 0.198 0.000
Zr2 0.289 0.500 0.789
Zr3 0.711 0.500 0.211
Zr4 0.802 0.802 0.000
Sb1 0.000 0.000 0.000
Sb2 0.368 0.868 0.500
Sb3 0.632 0.132 0.500
H1 0.005 0.649 0.355
H2 0.294 0.649 0.645
H3 0.706 0.351 0.355
H4 0.995 0.351 0.645

---

Table of uncorrected energy (eV/atom), in record order: -6.38, -4.98, -5.75